First-principles (GGA-PBE) data for a relaxed Fe2SiPb crystal, as listed in Alexandria via LeMat-Bulk.

Computed properties:
E above lowest polymorph: 0.3398 eV per atom
energy relative to the elements, uncorrected: 494 meV/atom

Cell: 6.065 6.065 6.065 Å, 90.00 90.00 90.00°
Space group Fm-3m (No. 225)
Unique sites:
Fe 0.250 0.250 0.250 x8
Si 0.000 0.000 0.000 x4
Pb 0.000 0.000 0.500 x4